Entry 1:
Here is an optimized crystal structure of MgScMo from Alexandria. Energies are from PBE.

Unit cell a=5.194 b=4.412 c=7.731 alpha=78.60 beta=70.37 gamma=53.94
Fractional positions:
Mg 0.750 0.500 0.500
Mg 0.250 0.500 0.500
Mo 0.838 0.324 0.000
Mo 0.162 0.676 0.000
Sc 0.598 0.000 0.805
Sc 0.402 0.000 0.195

Results
M_tot	0.00	μB/f.u.
excess energy over the best structure of this formula in the dataset	578	meV per atom
final energy	-5.73	eV per atom
theoretical density	4.068	g/cm3

***

Entry 2:
Here is an optimized crystal structure of SmGeRh2 from Alexandria. Energies are from PBE.

Unit cell a=3.985 b=3.985 c=9.684 alpha=90.00 beta=90.00 gamma=90.00
Fractional positions:
Sm 0.500 0.000 0.201
Sm 0.000 0.500 0.799
Ge 0.500 0.000 0.650
Ge 0.000 0.500 0.350
Rh 0.500 0.000 0.903
Rh 0.000 0.500 0.097
Rh 0.000 0.000 0.500
Rh 0.500 0.500 0.500

Results
M_tot	0.00	μB/f.u.
final energy	-6.73	eV per atom
theoretical density	9.262	g/cm3

***

Entry 3:
Here is an optimized crystal structure of Tb2CeRh9 from Alexandria. Energies are from PBE.

Unit cell a=5.266 b=5.266 c=9.315 alpha=73.58 beta=73.58 gamma=60.00
Fractional positions:
Tb 0.861 0.861 0.418
Tb 0.139 0.139 0.582
Ce 0.000 0.000 0.000
Rh 0.667 0.667 0.999
Rh 0.333 0.333 0.001
Rh 0.500 0.500 0.500
Rh 0.417 0.417 0.249
Rh 0.918 0.417 0.249
Rh 0.417 0.918 0.249
Rh 0.583 0.583 0.751
Rh 0.583 0.082 0.751
Rh 0.082 0.583 0.751

Results
M_tot	0.00	μB/f.u.
final energy	-7.36	eV per atom
theoretical density	10.868	g/cm3

***

Entry 4:
Here is an optimized crystal structure of BaMnIr2 from Alexandria. Energies are from PBE.

Unit cell a=4.807 b=4.807 c=4.807 alpha=60.00 beta=60.00 gamma=60.00
Last column: magnetic moment on the atom in μB.
Fractional positions:
Ba 0.500 0.500 0.500  -0.01
Ir 0.000 0.000 0.000  0.27
Ir 0.250 0.250 0.250  0.15
Mn 0.750 0.750 0.750  3.79

Results
M_tot	4.36	μB/f.u.
excess energy over the best structure of this formula in the dataset	842	meV per atom
final energy	-6.40	eV per atom
theoretical density	12.189	g/cm3

***

Computed calculated volume (Å³/cell) in order:
135 154 211 79